Ti6Al3Ga: relaxed, PBE-GGA.

Summary:
- total DFT energy (no corrections) (eV for the cell shown) = -126.679
- formation energy (eV/atom) = -0.17
- M_tot (μB per formula unit) = 0.00
- excess energy over the best structure of this formula in the dataset (meV per atom) = 154
- crystal system = orthorhombic

Cell lengths 5.386, 8.871, 8.871 Å; angles 127.27, 90.00, 90.00 degrees
Atoms (fractional coordinates):
Ga 0.574 0.853 0.147
Ga 0.074 0.147 0.853
Ti 0.804 0.008 0.992
Ti 0.753 0.277 0.723
Ti 0.815 0.550 0.096
Ti 0.815 0.904 0.450
Ti 0.054 0.746 0.621
Ti 0.554 0.621 0.746
Ti 0.253 0.723 0.277
Ti 0.304 0.992 0.008
Ti 0.054 0.379 0.254
Ti 0.315 0.450 0.904
Ti 0.554 0.254 0.379
Ti 0.315 0.096 0.550
Al 0.019 0.709 0.939
Al 0.519 0.939 0.709
Al 0.519 0.291 0.061
Al 0.019 0.061 0.291
Al 0.079 0.412 0.588
Al 0.579 0.588 0.412